Below is a geometry-optimized V2FeRu structure, with properties calculated at the GGA-PBE level.

**E_tot**: -9.17 eV per atom
**Energy above the lowest structure with this stoichiometry**: 22 meV per atom
**Formation energy**: -0.18 eV per atom

Cell lengths 4.1818, 4.1818, 4.1818 Å; angles 60.00, 60.00, 60.00 degrees
Last column: nearest neighbours and their distance in Å.
Element x y z (fractional)
Ru (0.5000, 0.5000, 0.5000)  8 V 2.56
Fe (0.0000, 0.0000, 0.0000)  8 V 2.56
V (0.2500, 0.2500, 0.2500)  4 Ru 2.56, 4 Fe 2.56
V (0.7500, 0.7500, 0.7500)  4 Fe 2.56, 4 Ru 2.56

Below is a geometry-optimized VFe3Ru structure, with properties calculated at the GGA-PBE level.

**E_tot**: -7.55 eV per atom
**Energy above the lowest structure with this stoichiometry**: 0 meV per atom
**Formation energy**: 1.20 eV per atom

Cell lengths 4.1721, 4.1721, 4.1721 Å; angles 90.00, 90.00, 90.00 degrees
Last column: nearest neighbours and their distance in Å.
Element x y z (fractional)
Ru (0.5000, 0.5000, 0.5000)  12 Fe 2.95
Fe (0.0000, 0.5000, 0.0000)  2 V 2.09
Fe (0.0000, 0.0000, 0.5000)  2 V 2.09
Fe (0.5000, 0.0000, 0.0000)  2 V 2.09
V (0.0000, 0.0000, 0.0000)  6 Fe 2.09

> energy above the lowest structure with this stoichiometry of number 2 (VFe3Ru)?

0 meV per atom

> What is the E_tot in the second record?

-7.55 eV per atom

> Among the records above, which one has the highest energy above the lowest structure with this stoichiometry?

V2FeRu